(1)
Here is TbPd15Pb4 after structural relaxation from Alexandria. Energies are from GGA-PBE. Values from VASP.

Computed properties:
Mass density (Mg/m³): 12.3
Energy relative to the elements (meV/atom): -407

Quantum ESPRESSO input file:
```
&SYSTEM
  ibrav = 0, nat = 20, ntyp = 3
/
ATOMIC_SPECIES
Tb 158.93 Tb.upf
Pd 106.42 Pd.upf
Pb 207.20 Pb.upf
ATOMIC_POSITIONS angstrom
Tb 0.000 0.000 0.000
Pd -2.782 -0.853 -0.081
Pd -1.722 -4.469 1.628
Pd -0.674 -8.046 3.318
Pd 0.377 -11.635 5.013
Pd 1.425 -15.212 6.703
Pd -1.070 -1.678 2.142
Pd -0.021 -5.261 3.835
Pd 1.031 -8.850 5.531
Pd 2.082 -12.438 7.226
Pd 3.132 -16.021 8.919
Pd -0.648 -2.806 -0.508
Pd 0.402 -6.389 1.185
Pd 1.454 -9.978 2.881
Pd 2.505 -13.566 4.576
Pd 3.555 -17.149 6.269
Pb 1.057 -3.609 1.705
Pb 2.108 -7.195 3.399
Pb 3.159 -10.779 5.093
Pb 4.209 -14.366 6.787
CELL_PARAMETERS angstrom
-3.205 0.275 2.569
-2.359 -1.981 -2.731
5.267 -17.974 8.492
```

(2)
Here is TbPd4Pb after structural relaxation from Alexandria. Energies are from GGA-PBE. Values from VASP.

Computed properties:
Mass density (Mg/m³): 11.6
Energy relative to the elements (meV/atom): -556
Distance to the lowest polymorph of the same formula (eV per formula unit): 0.00

Quantum ESPRESSO input file:
```
&SYSTEM
  ibrav = 0, nat = 6, ntyp = 3
/
ATOMIC_SPECIES
Pb 207.20 Pb.upf
Tb 158.93 Tb.upf
Pd 106.42 Pd.upf
ATOMIC_POSITIONS angstrom
Pb 0.000 0.000 0.000
Tb 2.720 1.570 1.110
Pd 5.439 3.140 0.556
Pd 5.439 1.571 2.776
Pd 6.799 3.925 2.776
Pd 4.080 3.925 2.776
CELL_PARAMETERS angstrom
5.439 0.000 0.000
2.720 4.711 0.000
2.720 1.570 4.441
```

(3)
Here is Tb5Pd2Pb after structural relaxation from Alexandria. Energies are from GGA-PBE. Values from VASP.

Computed properties:
Mass density (Mg/m³): 9.5
Energy relative to the elements (meV/atom): -620

Quantum ESPRESSO input file:
```
&SYSTEM
  ibrav = 0, nat = 16, ntyp = 3
/
ATOMIC_SPECIES
Tb 158.93 Tb.upf
Pd 106.42 Pd.upf
Pb 207.20 Pb.upf
ATOMIC_POSITIONS angstrom
Tb -4.939 2.627 -1.173
Tb -7.233 -2.525 -4.067
Tb 0.000 0.000 0.000
Tb -3.809 -2.610 -3.166
Tb -0.030 5.709 0.280
Tb -1.722 4.314 -3.331
Tb -3.247 4.022 2.439
Tb -5.541 -1.129 -0.455
Tb -4.016 -0.838 -6.225
Tb -2.324 0.557 -2.614
Pd -2.586 -1.597 -0.523
Pd -1.455 -1.374 -4.729
Pd -6.163 -3.846 -1.604
Pd -5.032 -3.622 -5.810
Pb -5.536 0.287 -3.476
Pb -1.727 2.897 -0.310
CELL_PARAMETERS angstrom
-0.862 -1.344 -7.755
-6.756 -3.875 1.422
0.355 8.404 2.546
```

Sequential magnetization output: 0.000; 0.000; 0.001 Bohr magnetons per cell